Entry 1:
# La3MgO, relaxed, DFT PBE
# **Formation energy from raw total energies**: -100 kJ per mole of atoms
# **Total moment**: 0.00 μB/atom
# **Energy relative to the lowest polymorph listed for this composition**: 174.1 meV per atom
data_La3MgO
_space_group_name_H-M_alt 'P 1 21/m 1'
_space_group_IT_number 11
_cell_length_a 3.891
_cell_length_b 9.467
_cell_length_c 8.677
_cell_angle_alpha 90.00
_cell_angle_beta 90.39
_cell_angle_gamma 90.00
loop_
_space_group_symop_operation_xyz
'x,y,z'
'-x,-y,-z'
'-x,y+1/2,-z'
'x,-y+1/2,z'
loop_
_atom_site_label
_atom_site_fract_x
_atom_site_fract_y
_atom_site_fract_z
_atom_site_occupancy
La1 0.248 0.250 0.011 1
La2 0.249 0.539 0.684 1
Mg1 0.254 0.750 0.347 1
O1 0.250 0.750 0.838 1

***

Entry 2:
# V2MoSe6, relaxed, DFT PBE
# **Formation energy from raw total energies**: -35 kJ per mole of atoms
# **Total moment**: 0.00 μB/atom
# **Energy relative to the lowest polymorph listed for this composition**: 284.6 meV per atom
data_V2MoSe6
_space_group_name_H-M_alt 'C 1 2/m 1'
_space_group_IT_number 12
_cell_length_a 12.157
_cell_length_b 3.493
_cell_length_c 9.155
_cell_angle_alpha 90.00
_cell_angle_beta 93.78
_cell_angle_gamma 90.00
loop_
_space_group_symop_operation_xyz
'x,y,z'
'-x,-y,-z'
'-x,y,-z'
'x,-y,z'
'x+1/2,y+1/2,z'
'-x+1/2,-y+1/2,-z'
'-x+1/2,y+1/2,-z'
'x+1/2,-y+1/2,z'
loop_
_atom_site_label
_atom_site_fract_x
_atom_site_fract_y
_atom_site_fract_z
_atom_site_occupancy
V1 0.246 0.000 0.362 1
Mo1 0.000 0.500 0.000 1
Se1 0.097 0.500 0.774 1
Se2 0.122 0.500 0.419 1
Se3 0.140 0.000 0.107 1

***

Entry 3:
# CsNpTlF6, relaxed, DFT PBE
# **Formation energy from raw total energies**: -290 kJ per mole of atoms
# **Total moment**: 0.33 μB/atom
data_CsNpTlF6
_space_group_name_H-M_alt 'C 1 2 1'
_space_group_IT_number 5
_cell_length_a 6.910
_cell_length_b 11.993
_cell_length_c 5.538
_cell_angle_alpha 90.00
_cell_angle_beta 90.03
_cell_angle_gamma 90.00
loop_
_space_group_symop_operation_xyz
'x,y,z'
'-x,y,-z'
'x+1/2,y+1/2,z'
'-x+1/2,y+1/2,-z'
loop_
_atom_site_label
_atom_site_fract_x
_atom_site_fract_y
_atom_site_fract_z
_atom_site_occupancy
Cs1 0.000 0.000 0.000 1
Np1 0.000 0.667 0.500 1
Tl1 0.000 0.334 0.500 1
F1 0.128 0.533 0.286 1
F2 0.136 0.798 0.287 1
F3 0.235 0.169 0.288 1

***

Entry 4:
# Pm4Zn7Sn6, relaxed, DFT PBE
# **VASP energy**: -3.46 eV per atom
# **Total moment**: 0.00 μB/atom
data_Pm4Zn7Sn6
_space_group_name_H-M_alt 'I m -3 m'
_space_group_IT_number 229
_space_group_name_Hall '-I 4 2 3'
_cell_length_a 9.173
_cell_length_b 9.173
_cell_length_c 9.173
_cell_angle_alpha 90.00
_cell_angle_beta 90.00
_cell_angle_gamma 90.00
loop_
_atom_site_label
_atom_site_fract_x
_atom_site_fract_y
_atom_site_fract_z
_atom_site_occupancy
Pm1 0.250 0.250 0.250 1
Zn1 0.000 0.000 0.000 1
Zn2 0.000 0.250 0.500 1
Sn1 0.000 0.000 0.309 1